[1]
A plane-wave DFT calculation with PBE-GGA was carried out for an optimized crystal structure of NaGeN3.

```
5
Lattice="3.862 0.000 0.000 0.000 3.862 0.000 0.000 0.000 3.862" Properties=species:S:1:pos:R:3 pbc="T T T"
Na 0.000 0.000 0.000
Ge 1.931 1.931 1.931
N 0.000 1.931 1.931
N 1.931 0.000 1.931
N 1.931 1.931 0.000
```

=====

[2]
A plane-wave DFT calculation with PBE-GGA was carried out for an optimized crystal structure of NaGe3N.

```
5
Lattice="4.951 0.000 0.000 0.000 4.951 0.000 0.000 0.000 4.951" Properties=species:S:1:pos:R:3 pbc="T T T"
Na 0.000 0.000 0.000
Ge 0.000 0.000 2.476
Ge 0.000 2.476 0.000
Ge 2.476 0.000 0.000
N 2.476 2.476 2.476
```

Calculated values
- excess energy over the best structure of this formula in the dataset (meV per atom) = 1500

=====

[3]
A plane-wave DFT calculation with PBE-GGA was carried out for an optimized crystal structure of Na3GeN.

```
5
Lattice="4.745 0.000 0.000 0.000 4.745 0.000 0.000 0.000 4.745" Properties=species:S:1:pos:R:3 pbc="T T T"
Na 0.000 0.000 2.372
Na 0.000 2.372 0.000
Na 2.372 0.000 0.000
Ge 2.372 2.372 2.372
N 0.000 0.000 0.000
```

Calculated values
- excess energy over the best structure of this formula in the dataset (meV per atom) = 0

=====

[4]
A plane-wave DFT calculation with PBE-GGA was carried out for an optimized crystal structure of Na2GeN2.

```
20
Lattice="9.306 0.000 0.000 0.000 5.709 0.000 0.000 0.000 5.327" Properties=species:S:1:pos:R:3 pbc="T T T"
Na 1.479 0.508 0.606
Na 1.479 5.202 3.269
Na 3.174 2.347 3.269
Na 3.174 3.363 0.606
Na 6.132 2.347 4.721
Na 6.132 3.363 2.058
Na 7.827 0.508 2.058
Na 7.827 5.202 4.721
Ge 0.000 2.767 3.995
Ge 0.000 2.942 1.332
Ge 4.653 0.088 1.332
Ge 4.653 5.622 3.995
N 0.898 1.804 2.619
N 0.898 3.906 5.282
N 3.755 1.051 5.282
N 3.755 4.658 2.619
N 5.551 1.051 2.708
N 5.551 4.658 0.045
N 8.408 1.804 0.045
N 8.408 3.906 2.708
```

=====

| no. | DFT total energy (eV/atom) | formation energy without anion corrections (eV/atom) |
| --- | --- | --- |
| 1 | -4.968 | 1.2143 |
| 2 | -2.600 | 2.0997 |
| 3 | -2.881 | 0.4985 |
| 4 | -4.934 | -0.1525 |